1.
DFT (GGA-PBE) results for a geometry-optimized CaTmS2 structure.

* raw total energy: -5.624 eV/atom
* space-group type: No. 160
* raw formation energy: -7.77 eV per formula unit
* E above lowest polymorph: 0.35 eV per formula unit

Unit cell a=3.851 b=3.851 c=7.155 alpha=74.39 beta=74.39 gamma=60.00
Positions (direct):
Tm1 0.670 0.670 0.989
S1 0.256 0.256 0.232
Ca1 0.495 0.495 0.515
S2 0.079 0.079 0.764

---

2.
DFT (GGA-PBE) results for a geometry-optimized CaTm4S7 structure.

* raw total energy: -6.121 eV/atom
* space-group type: No. 8
* raw formation energy: -24.67 eV per formula unit

Unit cell a=3.787 b=6.640 c=11.591 alpha=104.20 beta=90.00 gamma=106.57
Positions (direct):
S1 0.960 0.920 0.212
S2 0.664 0.328 0.053
Tm1 0.005 0.011 0.000
S3 0.249 0.497 0.649
S4 0.734 0.467 0.349
Tm2 0.112 0.223 0.423
Tm3 0.310 0.620 0.201
S5 0.489 0.977 0.477
S6 0.347 0.694 0.952
Ca1 0.884 0.768 0.581
S7 0.047 0.094 0.790
Tm4 0.700 0.399 0.812